Computed, not measured: a geometry-optimized Te2Pb3O structure at the PBE-GGA level of DFT.

Symmetry = C2/c
Polymorph energy (0 for the lowest one) = 48.4 kJ/mol of formula units
ΔE_f (raw) = -12.0 kcal/mol of atoms
Total moment = 0.00 μB per formula unit

CIF file:
```
data_Te2Pb3O
_space_group_name_H-M_alt 'P 1'
_space_group_IT_number 1
_space_group_name_Hall 'P 1'
_cell_length_a 7.676
_cell_length_b 7.676
_cell_length_c 9.135
_cell_angle_alpha 111.04
_cell_angle_beta 111.04
_cell_angle_gamma 50.08
loop_
_atom_site_label
_atom_site_type_symbol
_atom_site_fract_x
_atom_site_fract_y
_atom_site_fract_z
Te1 Te 0.162 0.201 0.109
Te2 Te 0.201 0.162 0.609
Te3 Te 0.799 0.838 0.391
Te4 Te 0.838 0.799 0.891
Pb1 Pb 0.060 0.940 0.250
Pb2 Pb 0.363 0.368 0.502
Pb3 Pb 0.368 0.363 0.002
Pb4 Pb 0.632 0.637 0.998
Pb5 Pb 0.637 0.632 0.498
Pb6 Pb 0.940 0.060 0.750
O1 O 0.404 0.596 0.250
O2 O 0.596 0.404 0.750
```